No. 1
Here is MnTcTe at its PBEsol-relaxed geometry from Alexandria via LeMat-Bulk. Energies are from SCAN.

Cell lengths 6.0012, 6.0012, 6.0012 Å; angles 90.00, 90.00, 90.00 degrees
Closest atoms and distances in Å follow each position.
Space group F-43m (No. 216)
Asymmetric unit:
1 Mn 0.0000 0.0000 0.0000 (multiplicity 4)  4 Tc 2.60
2 Tc 0.2500 0.2500 0.2500 (multiplicity 4)  4 Te 2.60, 4 Mn 2.60
3 Te 0.0000 0.0000 0.5000 (multiplicity 4)  4 Tc 2.60

## Properties
The energy above the most stable polymorph in this dataset comes out at 0 meV/atom. For the density of states at the Fermi level, the calculation gives 3.9 states/eV/f.u. The value obtained for the uncorrected formation energy is 0.0259 eV per atom.

No. 2
Here is Li4TiTe3O12 at its PBEsol-relaxed geometry from Alexandria via LeMat-Bulk. Energies are from SCAN.

Cell lengths 4.9989, 8.7148, 5.1550 Å; angles 90.00, 94.23, 90.00 degrees
Closest atoms and distances in Å follow each position.
Space group P2 (No. 3)
Asymmetric unit:
1 Li 0.0000 0.0000 0.0000 (multiplicity 1)  2 O 1.97
2 Li 0.0000 0.2998 0.5000 (multiplicity 1)  2 O 1.95
3 Li 0.5000 0.4698 0.5000 (multiplicity 1)  4 O 1.95-2.09
4 Li 0.5000 0.8645 0.0000 (multiplicity 1)  2 O 1.95
5 Ti 0.5000 0.0620 0.5000 (multiplicity 1)  6 O 1.93-2.02
6 Te 0.0000 0.5623 0.0000 (multiplicity 1)  6 O 2.09-2.31
7 Te 0.0000 0.7651 0.5000 (multiplicity 1)  6 O 1.93-1.95
8 Te 0.5000 0.2462 0.0000 (multiplicity 1)  6 O 1.91-1.98
9 O 0.2039 0.7454 0.8352 (multiplicity 2)  2 Te 1.95-2.11, 1 Li 1.95
10 O 0.2188 0.6060 0.3544 (multiplicity 2)  1 Li 1.95, 2 Te 1.95-2.09
11 O 0.2339 0.9162 0.3633 (multiplicity 2)  1 Te 1.93, 1 Ti 1.93
12 O 0.2835 0.3943 0.8078 (multiplicity 2)  1 Te 1.91, 1 Li 2.09
13 O 0.2880 0.2253 0.2982 (multiplicity 2)  1 Te 1.94, 1 Li 1.95, 1 Ti 2.02
14 O 0.3020 0.0778 0.8143 (multiplicity 2)  1 Ti 1.96, 1 Li 1.97, 1 Te 1.98

## Properties
For the density of states at the Fermi level, the calculation gives 0.0 states/eV/f.u. The value obtained for the uncorrected formation energy is -1.8302 eV per atom.

No. 3
Here is FeRhW2 at its PBEsol-relaxed geometry from Alexandria via LeMat-Bulk. Energies are from SCAN.

Cell lengths 2.7122, 2.7122, 7.4161 Å; angles 90.00, 90.00, 90.00 degrees
Closest atoms and distances in Å follow each position.
Space group P4/mmm (No. 123)
Asymmetric unit:
1 Fe 0.0000 0.0000 0.0000 (multiplicity 1)  8 W 2.59, 4 Fe 2.71
2 Rh 0.0000 0.0000 0.5000 (multiplicity 1)  4 Rh 2.71, 8 W 2.75
3 W 0.5000 0.5000 0.2342 (multiplicity 2)  4 Fe 2.59, 4 W 2.71, 4 Rh 2.75

## Properties
The energy above the most stable polymorph in this dataset comes out at 0 meV/atom. For the density of states at the Fermi level, the calculation gives 2.8 states/eV/f.u.

No. 4
Here is Ca2ZnCl at its PBEsol-relaxed geometry from Alexandria via LeMat-Bulk. Energies are from SCAN.

Cell lengths 3.5307, 3.7612, 15.5826 Å; angles 90.00, 90.00, 90.00 degrees
Closest atoms and distances in Å follow each position.
Space group Imm2 (No. 44)
Asymmetric unit:
1 Ca 0.0000 0.0000 0.0000 (multiplicity 2)  4 Zn 2.97, 2 Cl 3.08
2 Ca 0.0000 0.5000 0.2596 (multiplicity 2)  2 Zn 2.96, 4 Cl 2.99
3 Zn 0.0000 0.0000 0.4062 (multiplicity 2)  6 Ca 2.96-2.97
4 Cl 0.0000 0.5000 0.6622 (multiplicity 2)  6 Ca 2.99-3.08

## Properties
For the density of states at the Fermi level, the calculation gives 2.4 states/eV/f.u. The value obtained for the uncorrected formation energy is -0.9025 eV per atom.

No. 5
Here is NaInIrN2 at its PBEsol-relaxed geometry from Alexandria via LeMat-Bulk. Energies are from SCAN.

Cell lengths 4.2749, 4.2749, 5.1110 Å; angles 90.00, 90.00, 90.00 degrees
Closest atoms and distances in Å follow each position.
Space group P4/mmm (No. 123)
Asymmetric unit:
1 Na 0.0000 0.0000 0.0000 (multiplicity 1)  4 Ir 3.02, 8 N 3.33
2 In 0.5000 0.5000 0.5000 (multiplicity 1)  4 N 2.14
3 Ir 0.5000 0.5000 0.0000 (multiplicity 1)  2 In 2.56
4 N 0.0000 0.5000 0.5000 (multiplicity 2)  2 In 2.14

## Properties
For the density of states at the Fermi level, the calculation gives 2.4 states/eV/f.u. The value obtained for the uncorrected formation energy is 1.8129 eV per atom.

No. 6
Here is NaLa2AlPd at its PBEsol-relaxed geometry from Alexandria via LeMat-Bulk. Energies are from SCAN.

Cell lengths 5.6597, 5.6597, 4.8147 Å; angles 90.00, 90.00, 90.00 degrees
Closest atoms and distances in Å follow each position.
Space group P4/mmm (No. 123)
Asymmetric unit:
1 Na 0.0000 0.0000 0.0000 (multiplicity 1)  8 La 3.72, 4 Al 4.00
2 La 0.0000 0.5000 0.5000 (multiplicity 2)  2 Pd 2.83
3 Al 0.5000 0.5000 0.0000 (multiplicity 1)  2 Pd 2.41
4 Pd 0.5000 0.5000 0.5000 (multiplicity 1)  2 Al 2.41

## Properties
As for the total energy: -26.484 eV per atom. For the density of states at the Fermi level, the calculation gives 4.0 states/eV/f.u.

No. 7
Here is Ca2WAu at its PBEsol-relaxed geometry from Alexandria via LeMat-Bulk. Energies are from SCAN.

Cell lengths 11.6001, 2.9286, 5.4954 Å; angles 90.00, 110.93, 90.00 degrees
Closest atoms and distances in Å follow each position.
Space group Cm (No. 8)
Asymmetric unit:
1 Ca 0.0000 0.0000 0.0000 (multiplicity 2)  2 Ca 2.93, 4 Au 3.04-3.27, 3 W 3.13-3.23
2 Ca 0.1998 0.0000 0.6090 (multiplicity 2)  2 Ca 2.93, 3 Au 3.07-3.23, 4 W 3.17-3.21
3 W 0.2644 0.5000 0.1531 (multiplicity 2)  2 Au 2.73, 2 W 2.93
4 Au 0.4533 0.0000 0.4891 (multiplicity 2)  2 W 2.73, 2 Au 2.93, 2 Ca 3.04

## Properties
The energy above the most stable polymorph in this dataset comes out at 0 meV/atom. For the density of states at the Fermi level, the calculation gives 3.6 states/eV/f.u.

No. 8
Here is ZnCd2Br at its PBEsol-relaxed geometry from Alexandria via LeMat-Bulk. Energies are from SCAN.

Cell lengths 7.2118, 7.2118, 7.2118 Å; angles 90.00, 90.00, 90.00 degrees
Closest atoms and distances in Å follow each position.
Space group Fm-3m (No. 225)
Asymmetric unit:
1 Zn 0.0000 0.0000 0.0000 (multiplicity 4)  8 Cd 3.12
2 Cd 0.2500 0.2500 0.2500 (multiplicity 8)  4 Br 3.12, 4 Zn 3.12
3 Br 0.0000 0.0000 0.5000 (multiplicity 4)  8 Cd 3.12

## Properties
The energy above the most stable polymorph in this dataset comes out at 369 meV/atom. For the density of states at the Fermi level, the calculation gives 3.2 states/eV/f.u. The value obtained for the uncorrected formation energy is 0.2104 eV per atom.

No. 9
Here is Pm2ZnIr at its PBEsol-relaxed geometry from Alexandria via LeMat-Bulk. Energies are from SCAN.

Cell lengths 7.0429, 7.0429, 7.0429 Å; angles 90.00, 90.00, 90.00 degrees
Closest atoms and distances in Å follow each position.
Space group Fm-3m (No. 225)
Asymmetric unit:
1 Pm 0.2500 0.2500 0.2500 (multiplicity 8)  4 Ir 3.05, 4 Zn 3.05
2 Zn 0.0000 0.0000 0.0000 (multiplicity 4)  8 Pm 3.05
3 Ir 0.0000 0.0000 0.5000 (multiplicity 4)  8 Pm 3.05

## Properties
As for the total energy: -43.788 eV per atom. For the density of states at the Fermi level, the calculation gives 1.7 states/eV/f.u.

No. 10
Here is TlAuBr2 at its PBEsol-relaxed geometry from Alexandria via LeMat-Bulk. Energies are from SCAN.

Cell lengths 4.2653, 4.2653, 20.9306 Å; angles 90.00, 90.00, 120.00 degrees
Closest atoms and distances in Å follow each position.
Space group R-3m (No. 166, hexagonal axes)
Asymmetric unit:
1 Tl 0.0000 0.0000 0.0000 (multiplicity 3)  6 Br 3.22
2 Au 0.0000 0.0000 0.5000 (multiplicity 3)  6 Br 2.84
3 Br 0.0000 0.0000 0.2339 (multiplicity 6)  3 Au 2.84

## Properties
The energy above the most stable polymorph in this dataset comes out at 139 meV/atom. The value obtained for the uncorrected formation energy is -0.2832 eV per atom.

No. 11
Here is Ba2Cd at its PBEsol-relaxed geometry from Alexandria via LeMat-Bulk. Energies are from SCAN.

Cell lengths 4.1350, 4.1350, 31.6134 Å; angles 90.00, 90.00, 90.00 degrees
Closest atoms and distances in Å follow each position.
Space group I4_1/amd (No. 141, origin choice 2)
Asymmetric unit:
1 Ba 0.0000 0.2500 0.3119 (multiplicity 8)  4 Cd 3.54
2 Cd 0.0000 0.2500 0.8750 (multiplicity 4)  8 Ba 3.54

## Properties
As for the total energy: -36.752 eV per atom. For the density of states at the Fermi level, the calculation gives 2.7 states/eV/f.u.

No. 12
Here is CaLa2Ag at its PBEsol-relaxed geometry from Alexandria via LeMat-Bulk. Energies are from SCAN.

Cell lengths 3.7101, 3.7101, 32.6247 Å; angles 90.00, 90.00, 120.00 degrees
Closest atoms and distances in Å follow each position.
Space group R-3m (No. 166, hexagonal axes)
Asymmetric unit:
1 Ca 0.0000 0.0000 0.0000 (multiplicity 3)  6 Ca 3.71, 6 La 3.81
2 La 0.0000 0.0000 0.2367 (multiplicity 6)  3 Ag 3.13
3 Ag 0.0000 0.0000 0.5000 (multiplicity 3)  6 La 3.13

## Properties
The energy above the most stable polymorph in this dataset comes out at 129 meV/atom. For the density of states at the Fermi level, the calculation gives 4.8 states/eV/f.u.

No. 13
Here is TlHgSb2 at its PBEsol-relaxed geometry from Alexandria via LeMat-Bulk. Energies are from SCAN.

Cell lengths 3.7989, 3.7989, 7.5850 Å; angles 90.00, 90.00, 90.00 degrees
Closest atoms and distances in Å follow each position.
Space group P4mm (No. 99)
Asymmetric unit:
1 Tl 0.0000 0.0000 0.0000 (multiplicity 1)  4 Hg 3.27, 4 Sb 3.51
2 Hg 0.5000 0.5000 0.2457 (multiplicity 1)  4 Tl 3.27, 5 Sb 3.35-3.46
3 Sb 0.0000 0.0000 0.5105 (multiplicity 1)  4 Sb 3.05, 4 Hg 3.35
4 Sb 0.5000 0.5000 0.7013 (multiplicity 1)  4 Sb 3.05

## Properties
The energy above the most stable polymorph in this dataset comes out at 0 meV/atom. For the density of states at the Fermi level, the calculation gives 1.4 states/eV/f.u. The value obtained for the uncorrected formation energy is 0.0585 eV per atom.

No. 14
Here is Zn2SiHgMo at its PBEsol-relaxed geometry from Alexandria via LeMat-Bulk. Energies are from SCAN.

Cell lengths 4.7377, 4.7377, 5.0281 Å; angles 90.00, 90.00, 90.00 degrees
Closest atoms and distances in Å follow each position.
Space group P4/mmm (No. 123)
Asymmetric unit:
1 Zn 0.0000 0.5000 0.0000 (multiplicity 2)  2 Hg 2.37
2 Si 0.0000 0.0000 0.5000 (multiplicity 1)  2 Hg 2.51
3 Hg 0.0000 0.0000 0.0000 (multiplicity 1)  4 Zn 2.37, 2 Si 2.51
4 Mo 0.5000 0.5000 0.5000 (multiplicity 1)  4 Si 3.35, 8 Zn 3.45

## Properties
For the density of states at the Fermi level, the calculation gives 2.1 states/eV/f.u. The value obtained for the uncorrected formation energy is 1.3542 eV per atom.

No. 15
Here is CoRuCl2 at its PBEsol-relaxed geometry from Alexandria via LeMat-Bulk. Energies are from SCAN.

Cell lengths 2.9978, 2.9978, 5.9878 Å; angles 90.00, 90.00, 90.00 degrees
Closest atoms and distances in Å follow each position.
Space group P4/mmm (No. 123)
Asymmetric unit:
1 Co 0.0000 0.0000 0.0000 (multiplicity 1)  8 Cl 2.58
2 Ru 0.0000 0.0000 0.5000 (multiplicity 1)  8 Cl 2.61
3 Cl 0.5000 0.5000 0.2444 (multiplicity 2)  4 Co 2.58, 4 Ru 2.61

## Properties
The energy above the most stable polymorph in this dataset comes out at 430 meV/atom. For the density of states at the Fermi level, the calculation gives 1.8 states/eV/f.u. The value obtained for the uncorrected formation energy is 0.7182 eV per atom.

No. 16
Here is Al2TeAs at its PBEsol-relaxed geometry from Alexandria via LeMat-Bulk. Energies are from SCAN.

Cell lengths 11.2512, 3.0355, 5.8464 Å; angles 90.00, 121.28, 90.00 degrees
Closest atoms and distances in Å follow each position.
Space group Cm (No. 8)
Asymmetric unit:
1 Al 0.0000 0.0000 0.0000 (multiplicity 2)  2 As 2.73, 4 Al 2.77-3.04, 2 Te 2.95
2 Al 0.1692 0.5000 0.8869 (multiplicity 2)  2 As 2.68, 2 Al 2.77, 1 Te 2.86
3 Te 0.4337 0.0000 0.3529 (multiplicity 2)  5 Al 2.86-3.19, 2 Te 3.04, 1 As 3.11
4 As 0.2752 0.0000 0.6581 (multiplicity 2)  4 Al 2.68-2.73

## Properties
The energy above the most stable polymorph in this dataset comes out at 334 meV/atom. For the density of states at the Fermi level, the calculation gives 1.4 states/eV/f.u. The value obtained for the uncorrected formation energy is 0.1303 eV per atom.

No. 17
Here is Ni2IrBr at its PBEsol-relaxed geometry from Alexandria via LeMat-Bulk. Energies are from SCAN.

Cell lengths 2.8027, 4.3752, 8.7499 Å; angles 90.00, 90.00, 90.00 degrees
Closest atoms and distances in Å follow each position.
Space group Imm2 (No. 44)
Asymmetric unit:
1 Ni 0.0000 0.0000 0.0000 (multiplicity 2)  4 Br 2.60, 4 Ni 2.62-2.80, 2 Ir 2.62
2 Ni 0.0000 0.5000 0.2476 (multiplicity 2)  2 Br 2.56, 4 Ir 2.60, 4 Ni 2.62-2.80
3 Ir 0.0000 0.5000 0.7536 (multiplicity 2)  2 Br 2.60, 6 Ni 2.60-2.62, 2 Ir 2.80
4 Br 0.0000 0.0000 0.5033 (multiplicity 2)  6 Ni 2.56-2.60, 2 Ir 2.60, 2 Br 2.80

## Properties
The energy above the most stable polymorph in this dataset comes out at 293 meV/atom. For the density of states at the Fermi level, the calculation gives 4.1 states/eV/f.u. The value obtained for the uncorrected formation energy is 0.8486 eV per atom.

No. 18
Here is LiCd2Pb at its PBEsol-relaxed geometry from Alexandria via LeMat-Bulk. Energies are from SCAN.

Cell lengths 3.3182, 3.3182, 28.3355 Å; angles 90.00, 90.00, 120.00 degrees
Closest atoms and distances in Å follow each position.
Space group R3m (No. 160, hexagonal axes)
Asymmetric unit:
1 Li 0.0000 0.0000 0.0000 (multiplicity 3)  3 Cd 2.89, 3 Pb 3.04
2 Cd 0.0000 0.0000 0.2568 (multiplicity 3)  3 Li 2.89, 3 Cd 3.02
3 Cd 0.0000 0.0000 0.5075 (multiplicity 3)  9 Cd 3.02-3.32, 3 Pb 3.21
4 Pb 0.0000 0.0000 0.7499 (multiplicity 3)  3 Li 3.04, 3 Cd 3.21, 6 Pb 3.32

## Properties
As for the total energy: -34.826 eV per atom. For the density of states at the Fermi level, the calculation gives 1.8 states/eV/f.u.

No. 19
Here is La2InF2 at its PBEsol-relaxed geometry from Alexandria via LeMat-Bulk. Energies are from SCAN.

Cell lengths 3.9023, 3.9023, 14.2934 Å; angles 90.00, 90.00, 90.00 degrees
Closest atoms and distances in Å follow each position.
Space group I4/mmm (No. 139)
Asymmetric unit:
1 La 0.0000 0.0000 0.1385 (multiplicity 4)  4 F 2.52
2 In 0.0000 0.0000 0.5000 (multiplicity 2)  8 La 3.40
3 F 0.0000 0.5000 0.2500 (multiplicity 4)  4 La 2.52, 4 F 2.76

## Properties
For the density of states at the Fermi level, the calculation gives 1.8 states/eV/f.u. The value obtained for the uncorrected formation energy is -2.6576 eV per atom.

No. 20
Here is SbPbAuI2 at its PBEsol-relaxed geometry from Alexandria via LeMat-Bulk. Energies are from SCAN.

Cell lengths 5.4993, 5.4993, 5.4033 Å; angles 90.00, 90.00, 90.00 degrees
Closest atoms and distances in Å follow each position.
Space group P4/mmm (No. 123)
Asymmetric unit:
1 Sb 0.0000 0.0000 0.0000 (multiplicity 1)  2 Au 2.70
2 Pb 0.5000 0.5000 0.0000 (multiplicity 1)  8 I 3.85, 4 Sb 3.89
3 Au 0.0000 0.0000 0.5000 (multiplicity 1)  2 Sb 2.70, 4 I 2.75
4 I 0.0000 0.5000 0.5000 (multiplicity 2)  2 Au 2.75

## Properties
For the density of states at the Fermi level, the calculation gives 3.1 states/eV/f.u. The value obtained for the uncorrected formation energy is 0.2554 eV per atom.